DFT (GGA-PBE) results for a geometry-optimized Ba2As7Rh12 structure.

The structure in POSCAR format:
```
Ba2As7Rh12
1.0
10.1743 0.0000 0.0000
-5.0872 8.8112 0.0000
0.0000 0.0000 3.9897
Ba As Rh
2 7 12
Cartesian
0.0000 5.8742 0.9965
5.0872 2.9371 2.9931
0.0000 0.0000 0.0000
-0.9277 3.4923 2.9886
-1.5989 7.8685 2.9886
2.5605 2.5495 1.0011
2.5266 6.2617 2.9886
6.6861 0.9427 1.0011
6.0149 5.3190 1.0011
-2.5792 5.4549 2.9905
-3.1976 7.5522 1.0072
0.1455 2.2659 1.0072
2.0351 1.0069 2.9824
1.6527 3.8501 2.9905
4.1607 0.4938 0.9992
0.9265 8.3175 2.9905
3.4344 4.9611 0.9992
3.0520 7.8043 1.0072
4.9416 6.5453 2.9824
8.2848 1.2590 2.9824
7.6664 3.3564 0.9992
```

Summary:
The value obtained for the energy of formation is -571 meV per atom. The value obtained for the total magnetic moment is 0.0000 μB per atom. Its volume is 358 Å³ per cell.



DFT (GGA-PBE) results for a geometry-optimized BaAsRh structure.

The structure in POSCAR format:
```
BaAsRh
1.0
0.0000 3.5820 3.5820
3.5820 0.0000 3.5820
3.5820 3.5820 0.0000
Ba As Rh
1 1 1
Cartesian
0.0000 0.0000 0.0000
5.3731 5.3731 5.3731
1.7910 1.7910 1.7910
```

Summary:
The value obtained for the energy of formation is 608 meV per atom. The value obtained for the total magnetic moment is 0.0000 μB per atom. Its volume is 92 Å³ per cell.



DFT (GGA-PBE) results for a geometry-optimized BaAs2Rh3 structure.

The structure in POSCAR format:
```
BaAs2Rh3
1.0
7.8205 -2.0650 0.0000
7.8205 2.0650 0.0000
-3.4687 0.0000 7.5247
Ba As Rh
2 4 6
Cartesian
2.0586 0.0000 0.4911
10.1137 0.0000 7.0336
0.6075 0.0000 4.9761
4.7548 0.0000 5.8822
7.4175 0.0000 1.6425
11.5648 0.0000 2.5486
-0.6400 0.0000 2.9012
2.9604 0.0000 4.2223
5.1676 0.0000 2.5526
7.0048 0.0000 4.9721
9.2119 0.0000 3.3023
12.8124 0.0000 4.6235
```

Summary:
The value obtained for the energy of formation is -658 meV per atom. The value obtained for the total magnetic moment is 0.0000 μB per atom. Its volume is 243 Å³ per cell.



DFT (GGA-PBE) results for a geometry-optimized BaAsRh2 structure.

The structure in POSCAR format:
```
BaAsRh2
1.0
3.2282 0.0000 0.0000
0.0000 3.2282 0.0000
0.0000 0.0000 7.6194
Ba As Rh
1 1 2
Cartesian
0.0000 0.0000 0.0000
0.0000 0.0000 3.8097
1.6141 1.6141 2.4195
1.6141 1.6141 5.1999
```

Summary:
The value obtained for the energy of formation is -44 meV per atom. The value obtained for the total magnetic moment is 0.0000 μB per atom. Its volume is 79 Å³ per cell.



DFT (GGA-PBE) results for a geometry-optimized Ba6AsRh2 structure.

The structure in POSCAR format:
```
Ba6AsRh2
1.0
9.8732 -2.3436 0.0000
9.8732 2.3436 0.0000
-1.5626 0.0000 8.9869
Ba As Rh
6 1 2
Cartesian
-0.1951 0.0000 2.2119
5.7630 0.0000 3.8091
5.2348 0.0000 7.9444
12.9489 0.0000 1.0425
12.4208 0.0000 5.1778
18.3788 0.0000 6.7750
9.8732 0.0000 0.0000
2.6873 0.0000 3.0898
15.4964 0.0000 5.8971
```

Summary:
The value obtained for the energy of formation is -393 meV per atom. The value obtained for the total magnetic moment is 0.0000 μB per atom. Its volume is 416 Å³ per cell.



DFT (GGA-PBE) results for a geometry-optimized BaAsRh2 structure.

The structure in POSCAR format:
```
BaAsRh2
1.0
-1.9392 2.9450 4.0622
1.9392 -2.9450 4.0622
1.9392 2.9450 -4.0622
Ba As Rh
1 1 2
Cartesian
0.0000 0.0000 0.0000
0.0000 0.0000 4.0622
1.9392 0.0000 2.6319
0.0000 2.9450 1.4302
```

Summary:
The value obtained for the energy of formation is -141 meV per atom. The value obtained for the total magnetic moment is 0.0000 μB per atom. Its volume is 93 Å³ per cell.



DFT (GGA-PBE) results for a geometry-optimized BaAsRh2 structure.

The structure in POSCAR format:
```
BaAsRh2
1.0
3.2500 -4.5178 0.0000
3.2500 4.5178 0.0000
-1.5184 0.0000 2.7933
Ba As Rh
1 1 2
Cartesian
0.0000 0.0000 0.0000
3.2500 0.0000 0.0000
0.8658 2.2589 1.3967
0.8658 -2.2589 1.3967
```

Summary:
The value obtained for the energy of formation is 263 meV per atom. The value obtained for the total magnetic moment is 0.0005 μB per atom. Its volume is 82 Å³ per cell.



DFT (GGA-PBE) results for a geometry-optimized BaAsRh structure.

The structure in POSCAR format:
```
BaAsRh
1.0
-1.7671 1.7671 5.7199
1.7671 -1.7671 5.7199
1.7671 1.7671 -5.7199
Ba As Rh
1 1 1
Cartesian
0.0000 0.0000 0.0000
0.0000 0.0000 3.2462
0.0000 0.0000 8.2081
```

Summary:
The value obtained for the energy of formation is -438 meV per atom. The value obtained for the total magnetic moment is 0.0000 μB per atom. Its volume is 71 Å³ per cell.



DFT (GGA-PBE) results for a geometry-optimized BaAs12Rh4 structure.

The structure in POSCAR format:
```
BaAs12Rh4
1.0
-4.3511 4.3511 4.3511
4.3511 -4.3511 4.3511
4.3511 4.3511 -4.3511
Ba As Rh
1 12 4
Cartesian
0.0000 0.0000 0.0000
3.0750 1.3083 0.0000
5.6272 1.3083 0.0000
4.3511 -1.2761 3.0428
3.0428 4.3511 -1.2761
1.3083 0.0000 3.0750
4.3511 1.2761 3.0428
0.0000 3.0750 1.3083
3.0428 4.3511 1.2761
1.3083 0.0000 5.6272
0.0000 5.6272 1.3083
-1.2761 3.0428 4.3511
1.2761 3.0428 4.3511
2.1756 2.1756 -2.1756
2.1756 -2.1756 2.1756
-2.1756 2.1756 2.1756
2.1756 2.1756 2.1756
```

Summary:
The value obtained for the energy of formation is -511 meV per atom. The value obtained for the total magnetic moment is 0.0000 μB per atom. Its volume is 330 Å³ per cell.



DFT (GGA-PBE) results for a geometry-optimized BaAsRh2 structure.

The structure in POSCAR format:
```
BaAsRh2
1.0
-2.5528 2.5528 8.0788
2.5528 -2.5528 8.0788
2.5528 2.5528 -8.0788
Ba As Rh
2 2 4
Cartesian
0.0000 0.0000 0.0000
0.0000 2.5528 4.0394
2.5528 0.0000 4.0394
0.0000 0.0000 8.0788
1.2764 -0.2922 6.0591
2.2607 1.2764 2.0197
1.2764 2.8450 -2.0197
0.2922 1.2764 10.0985
```

Summary:
The value obtained for the energy of formation is -375 meV per atom. The value obtained for the total magnetic moment is 0.0000 μB per atom. Its volume is 211 Å³ per cell.



DFT (GGA-PBE) results for a geometry-optimized BaAs2Rh2 structure.

The structure in POSCAR format:
```
BaAs2Rh2
1.0
6.6062 0.0000 0.0000
-2.8845 5.9463 0.0000
-1.6286 -3.1065 5.7788
Ba As Rh
2 4 4
Cartesian
-0.6981 1.3960 1.4435
2.7912 1.4438 4.3353
-2.2808 4.3713 2.3771
-0.5780 1.5671 5.2665
2.6711 1.2727 0.5123
4.3739 -1.5315 3.4017
-0.2608 -0.7036 4.5518
2.7829 -0.8618 1.6622
-0.6898 3.7016 4.1166
2.3540 3.5434 1.2270
```

Summary:
The value obtained for the energy of formation is -787 meV per atom. The value obtained for the total magnetic moment is 0.0000 μB per atom. Its volume is 227 Å³ per cell.



DFT (GGA-PBE) results for a geometry-optimized Ba2As2Rh structure.

The structure in POSCAR format:
```
Ba2As2Rh
1.0
7.0360 0.0000 0.0000
0.0000 7.0360 0.0000
0.0000 0.0000 5.1796
Ba As Rh
4 4 2
Cartesian
1.2214 2.2966 0.0000
2.2966 5.8146 0.0000
4.7394 1.2214 0.0000
5.8146 4.7394 0.0000
0.9735 4.4915 2.5898
2.5445 0.9735 2.5898
4.4915 6.0625 2.5898
6.0625 2.5445 2.5898
0.0000 0.0000 2.5898
3.5180 3.5180 2.5898
```

Summary:
The value obtained for the energy of formation is -636 meV per atom. The value obtained for the total magnetic moment is 0.0000 μB per atom. Its volume is 256 Å³ per cell.



DFT (GGA-PBE) results for a geometry-optimized BaAsRh2 structure.

The structure in POSCAR format:
```
BaAsRh2
1.0
3.7943 -2.1916 0.0000
3.7943 2.1916 0.0000
-2.5223 0.0000 5.6390
Ba As Rh
1 1 2
Cartesian
0.0000 0.0000 0.0000
5.0573 0.0000 2.2815
-0.0020 0.0000 3.2490
2.5293 0.0000 3.0518
```

Summary:
The value obtained for the energy of formation is -458 meV per atom. The value obtained for the total magnetic moment is 0.0000 μB per atom. Its volume is 94 Å³ per cell.



DFT (GGA-PBE) results for a geometry-optimized BaAsRh2 structure.

The structure in POSCAR format:
```
BaAsRh2
1.0
4.5542 0.0000 0.0000
0.0000 4.5542 0.0000
0.0000 0.0000 3.8851
Ba As Rh
1 1 2
Cartesian
0.0000 0.0000 0.0000
2.2771 2.2771 0.0000
0.0000 2.2771 1.9425
2.2771 0.0000 1.9425
```

Summary:
The value obtained for the energy of formation is 94 meV per atom. The value obtained for the total magnetic moment is 0.0000 μB per atom. Its volume is 81 Å³ per cell.



DFT (GGA-PBE) results for a geometry-optimized BaAsRh2 structure.

The structure in POSCAR format:
```
BaAsRh2
1.0
-2.0604 2.0604 4.8092
2.0604 -2.0604 4.8092
2.0604 2.0604 -4.8092
Ba As Rh
1 1 2
Cartesian
0.0000 0.0000 0.0000
0.0000 2.0604 2.4046
2.0604 0.0000 2.4046
0.0000 0.0000 4.8092
```

Summary:
The value obtained for the energy of formation is 188 meV per atom. The value obtained for the total magnetic moment is 0.0000 μB per atom. Its volume is 82 Å³ per cell.



DFT (GGA-PBE) results for a geometry-optimized Ba2AsRh2 structure.

The structure in POSCAR format:
```
Ba2AsRh2
1.0
7.0899 0.0000 0.0000
0.0000 7.0899 0.0000
0.0000 0.0000 4.9112
Ba As Rh
4 2 4
Cartesian
1.2985 2.2464 0.0000
2.2464 5.7914 0.0000
4.8435 1.2985 0.0000
5.7914 4.8435 0.0000
0.0000 0.0000 2.4556
3.5450 3.5450 2.4556
0.9477 4.4926 2.4556
2.5973 0.9477 2.4556
4.4926 6.1423 2.4556
6.1423 2.5973 2.4556
```

Summary:
The value obtained for the energy of formation is -293 meV per atom. The value obtained for the total magnetic moment is 0.0000 μB per atom. Its volume is 247 Å³ per cell.



DFT (GGA-PBE) results for a geometry-optimized BaAs2Rh2 structure.

The structure in POSCAR format:
```
BaAs2Rh2
1.0
-2.0483 2.0483 6.4940
2.0483 -2.0483 6.4940
2.0483 2.0483 -6.4940
Ba As Rh
1 2 2
Cartesian
0.0000 0.0000 0.0000
0.0000 0.0000 4.6321
0.0000 0.0000 8.3559
2.0483 0.0000 3.2470
0.0000 2.0483 3.2470
```

Summary:
The value obtained for the energy of formation is -822 meV per atom. The value obtained for the total magnetic moment is 0.0000 μB per atom. Its volume is 109 Å³ per cell.



DFT (GGA-PBE) results for a geometry-optimized BaAsRh2 structure.

The structure in POSCAR format:
```
BaAsRh2
1.0
2.1608 1.2475 5.6506
-2.1608 1.2475 5.6506
0.0000 -2.4951 5.6506
Ba As Rh
1 1 2
Cartesian
0.0000 0.0000 0.0000
0.0000 0.0000 8.4759
0.0000 0.0000 3.3323
0.0000 0.0000 13.6194
```

Summary:
The value obtained for the energy of formation is -546 meV per atom. The value obtained for the total magnetic moment is 0.0000 μB per atom. Its volume is 91 Å³ per cell.



DFT (GGA-PBE) results for a geometry-optimized BaAs4Rh structure.

The structure in POSCAR format:
```
BaAs4Rh
1.0
0.0000 4.0629 4.0629
4.0629 0.0000 4.0629
4.0629 4.0629 0.0000
Ba As Rh
1 4 1
Cartesian
0.0000 0.0000 0.0000
3.0939 3.0939 3.0939
5.0319 5.0319 3.0939
5.0319 3.0939 5.0319
3.0939 5.0319 5.0319
6.0943 6.0943 6.0943
```

Summary:
The value obtained for the energy of formation is 106 meV per atom. The value obtained for the total magnetic moment is 0.1295 μB per atom. Its volume is 134 Å³ per cell.



DFT (GGA-PBE) results for a geometry-optimized Ba3AsRh structure.

The structure in POSCAR format:
```
Ba3AsRh
1.0
5.8203 0.0000 0.0000
0.0000 5.8203 0.0000
0.0000 0.0000 5.8203
Ba As Rh
3 1 1
Cartesian
0.0000 0.0000 2.9101
0.0000 2.9101 0.0000
2.9101 0.0000 0.0000
2.9101 2.9101 2.9101
0.0000 0.0000 0.0000
```

Summary:
The value obtained for the energy of formation is -360 meV per atom. The value obtained for the total magnetic moment is 0.0000 μB per atom. Its volume is 197 Å³ per cell. The excess energy over the best structure of this formula in the dataset is 0.00 eV/f.u.



DFT (GGA-PBE) results for a geometry-optimized BaAsRh2 structure.

The structure in POSCAR format:
```
BaAsRh2
1.0
0.0000 3.4800 3.4800
3.4800 0.0000 3.4800
3.4800 3.4800 0.0000
Ba As Rh
1 1 2
Cartesian
0.0000 0.0000 0.0000
1.7400 1.7400 1.7400
3.4800 3.4800 3.4800
5.2200 5.2200 5.2200
```

Summary:
The value obtained for the energy of formation is 334 meV per atom. The value obtained for the total magnetic moment is 0.2006 μB per atom. Its volume is 84 Å³ per cell.



DFT (GGA-PBE) results for a geometry-optimized BaAsRh structure.

The structure in POSCAR format:
```
BaAsRh
1.0
0.0000 3.4154 3.4154
3.4154 0.0000 3.4154
3.4154 3.4154 0.0000
Ba As Rh
1 1 1
Cartesian
0.0000 0.0000 0.0000
3.4154 3.4154 3.4154
1.7077 1.7077 1.7077
```

Summary:
The value obtained for the energy of formation is -165 meV per atom. The value obtained for the total magnetic moment is 0.2105 μB per atom. Its volume is 80 Å³ per cell.



DFT (GGA-PBE) results for a geometry-optimized BaAsRh2 structure.

The structure in POSCAR format:
```
BaAsRh2
1.0
4.1605 0.0000 0.0000
0.0000 4.1605 0.0000
0.0000 0.0000 5.4895
Ba As Rh
1 1 2
Cartesian
0.0000 0.0000 0.0000
2.0802 2.0802 3.7419
0.0000 2.0802 2.5675
2.0802 0.0000 2.5675
```

Summary:
The value obtained for the energy of formation is -471 meV per atom. The value obtained for the total magnetic moment is 0.0000 μB per atom. Its volume is 95 Å³ per cell.



DFT (GGA-PBE) results for a geometry-optimized BaSbAsRh3 structure.

The structure in POSCAR format:
```
BaSbAsRh3
1.0
3.0141 -7.7045 0.0000
3.0141 7.7045 0.0000
0.0000 0.0000 6.0037
Ba Sb As Rh
2 2 2 6
Cartesian
3.0141 3.8693 4.5028
3.0141 -3.8693 1.5009
3.0141 1.4706 1.5009
3.0141 -1.4706 4.5028
3.0141 6.4059 1.5009
3.0141 -6.4059 4.5028
3.0141 4.0305 1.5009
1.4515 0.0000 0.0000
1.4515 0.0000 3.0019
4.5767 0.0000 0.0000
4.5767 0.0000 3.0019
3.0141 -4.0305 4.5028
```

Summary:
The value obtained for the total magnetic moment is 0.0000 μB per atom. Its volume is 279 Å³ per cell. The total energy comes out at -5.99 eV per atom.



DFT (GGA-PBE) results for a geometry-optimized Ba2Sb3AsRh4 structure.

The structure in POSCAR format:
```
Ba2Sb3AsRh4
1.0
4.6155 0.0000 0.0000
0.0000 4.6155 0.0000
0.0000 0.0000 10.7460
Ba Sb As Rh
2 3 1 4
Cartesian
0.0000 2.3077 2.5944
2.3077 0.0000 8.1516
0.0000 0.0000 0.0000
0.0000 2.3077 6.7481
2.3077 0.0000 3.9979
2.3077 2.3077 0.0000
0.0000 0.0000 5.3730
0.0000 2.3077 9.4942
2.3077 0.0000 1.2519
2.3077 2.3077 5.3730
```

Summary:
The value obtained for the total magnetic moment is 0.0000 μB per atom. Its volume is 229 Å³ per cell. The total energy comes out at -5.72 eV per atom.